# 1
A plane-wave DFT calculation with PBE-GGA was carried out for a relaxed PrMg6Cd12 crystal.

abc: 8.087 8.087 8.087
angles: 104.23 104.23 104.23
Positions (direct):
1 Pr 0.000 0.000 0.000
2 Mg 0.705 0.300 0.300
3 Mg 0.300 0.300 0.705
4 Mg 0.300 0.705 0.300
5 Mg 0.700 0.700 0.295
6 Mg 0.295 0.700 0.700
7 Mg 0.700 0.295 0.700
8 Cd 0.889 0.111 0.500
9 Cd 0.882 0.634 0.634
10 Cd 0.634 0.634 0.882
11 Cd 0.366 0.118 0.366
12 Cd 0.366 0.366 0.118
13 Cd 0.118 0.366 0.366
14 Cd 0.111 0.500 0.889
15 Cd 0.500 0.889 0.111
16 Cd 0.111 0.889 0.500
17 Cd 0.889 0.500 0.111
18 Cd 0.500 0.111 0.889
19 Cd 0.634 0.882 0.634

Values from the calculation:
Electronic total energy (eV/atom): -1.330
Space group: R-3m, No. 166
Energy of formation (meV/atom): 3
Size of the total moment (μB/f.u.): 0.00

# 2
A plane-wave DFT calculation with PBE-GGA was carried out for a relaxed Pr3Mg2Cd6 crystal.

abc: 4.577 4.577 14.440
angles: 99.12 99.12 90.00
Positions (direct):
1 Pr 0.000 0.000 0.000
2 Pr 0.797 0.797 0.593
3 Pr 0.203 0.203 0.407
4 Mg 0.451 0.451 0.902
5 Mg 0.549 0.549 0.098
6 Cd 0.109 0.609 0.217
7 Cd 0.609 0.109 0.217
8 Cd 0.891 0.391 0.783
9 Cd 0.391 0.891 0.783
10 Cd 0.679 0.679 0.357
11 Cd 0.321 0.321 0.643

Values from the calculation:
Electronic total energy (eV/atom): -2.286
Space group: I4/mmm, No. 139
Energy of formation (meV/atom): -194
Size of the total moment (μB/f.u.): 0.31

# 3
A plane-wave DFT calculation with PBE-GGA was carried out for a relaxed Pr3Mg2Cd2 crystal.

abc: 6.578 6.580 9.425
angles: 106.20 87.05 146.88
Positions (direct):
1 Pr 0.000 0.000 0.000
2 Pr 0.294 0.013 0.652
3 Pr 0.706 0.987 0.348
4 Mg 0.836 0.425 0.130
5 Mg 0.164 0.575 0.870
6 Cd 0.437 0.270 0.354
7 Cd 0.563 0.730 0.646

Values from the calculation:
Electronic total energy (eV/atom): -2.905
Space group: P-1, No. 2
Energy of formation (meV/atom): -140
Size of the total moment (μB/f.u.): 0.00

# 4
A plane-wave DFT calculation with PBE-GGA was carried out for a relaxed Pr12MgCd3 crystal.

abc: 5.038 5.038 20.147
angles: 90.00 90.00 90.00
Positions (direct):
1 Pr 0.500 0.500 0.000
2 Pr 0.500 0.500 0.251
3 Pr 0.500 0.500 0.500
4 Pr 0.500 0.500 0.749
5 Pr 0.500 0.000 0.127
6 Pr 0.500 0.000 0.376
7 Pr 0.500 0.000 0.624
8 Pr 0.500 0.000 0.873
9 Pr 0.000 0.500 0.127
10 Pr 0.000 0.500 0.376
11 Pr 0.000 0.500 0.624
12 Pr 0.000 0.500 0.873
13 Mg 0.000 0.000 0.000
14 Cd 0.000 0.000 0.251
15 Cd 0.000 0.000 0.500
16 Cd 0.000 0.000 0.749

Values from the calculation:
Electronic total energy (eV/atom): -3.947
Space group: P4/mmm, No. 123
Energy of formation (meV/atom): -91
Size of the total moment (μB/f.u.): 0.00

# 5
A plane-wave DFT calculation with PBE-GGA was carried out for a relaxed Pr2Mg3Cd6 crystal.

abc: 4.483 8.454 8.454
angles: 65.32 90.00 90.00
Positions (direct):
1 Pr 0.000 0.289 0.711
2 Pr 0.000 0.711 0.289
3 Mg 0.000 0.254 0.254
4 Mg 0.000 0.746 0.746
5 Mg 0.500 0.000 0.000
6 Cd 0.500 0.387 0.387
7 Cd 0.500 0.613 0.613
8 Cd 0.500 0.985 0.339
9 Cd 0.500 0.015 0.661
10 Cd 0.500 0.339 0.985
11 Cd 0.500 0.661 0.015

Values from the calculation:
Electronic total energy (eV/atom): -1.901
Space group: Cmmm, No. 65
Energy of formation (meV/atom): -98
Size of the total moment (μB/f.u.): 0.00

# 6
A plane-wave DFT calculation with PBE-GGA was carried out for a relaxed Pr3Mg4Cd4 crystal.

abc: 3.509 5.108 16.229
angles: 80.84 83.79 90.01
Positions (direct):
1 Pr 0.141 0.642 0.718
2 Pr 0.859 0.358 0.282
3 Pr 0.000 0.000 0.000
4 Mg 0.592 0.093 0.814
5 Mg 0.263 0.262 0.475
6 Mg 0.737 0.738 0.525
7 Mg 0.408 0.907 0.186
8 Cd 0.548 0.547 0.905
9 Cd 0.452 0.453 0.095
10 Cd 0.315 0.814 0.371
11 Cd 0.685 0.186 0.629

Values from the calculation:
Electronic total energy (eV/atom): -2.456
Space group: P-1, No. 2
ΔE to the lowest computed polymorph (meV per atom): 0
Energy of formation (meV/atom): -240
Size of the total moment (μB/f.u.): 0.00

Q: The highest size of the total moment belongs to which entry?
A: Pr3Mg2Cd6